A geometry-optimized Nd8Al2In structure. Source: Alexandria via LeMat-Bulk, functional PBE-GGA.

Cell lengths 9.1043, 9.1043, 9.1043 Å; angles 147.25, 123.05, 67.27 degrees
Last column: nearest neighbours and their distance in Å.
Positions (direct):
Nd 0.1192 0.3391 0.7801  3 Al 3.23-3.29, 1 In 3.44, 5 Nd 3.51-3.55
Nd 0.1448 0.1448 0.0000  2 In 3.38, 8 Nd 3.51-3.54, 2 Al 3.56
Nd 0.3150 0.0000 0.3150  7 Nd 3.21-3.55, 2 Al 3.33
Nd 0.4410 0.6609 0.7801  3 Al 3.23-3.29, 1 In 3.44, 5 Nd 3.51-3.55
Nd 0.5590 0.3391 0.2199  3 Al 3.23-3.29, 1 In 3.44, 5 Nd 3.51-3.55
Nd 0.6850 0.0000 0.6850  7 Nd 3.21-3.55, 2 Al 3.33
Nd 0.8552 0.8552 0.0000  2 In 3.38, 8 Nd 3.51-3.54, 2 Al 3.56
Nd 0.8808 0.6609 0.2199  3 Al 3.23-3.29, 1 In 3.44, 5 Nd 3.51-3.55
Al 0.3074 0.8074 0.5000  10 Nd 3.23-3.56
Al 0.6926 0.1926 0.5000  10 Nd 3.23-3.56
In 0.0000 0.5000 0.5000  12 Nd 3.38-3.75

Results
Formation energy from the elements: -0.17 eV/atom
Energy: -4.572 eV/atom



A geometry-optimized Nd4AlIn3 structure. Source: Alexandria via LeMat-Bulk, functional PBE-GGA.

Cell lengths 3.8289, 3.8289, 15.4709 Å; angles 90.00, 90.00, 90.00 degrees
Last column: nearest neighbours and their distance in Å.
Positions (direct):
Nd 0.0000 0.0000 0.1172  4 Al 3.26, 4 In 3.35, 1 Nd 3.63
Nd 0.0000 0.0000 0.3718  8 In 3.35-3.36
Nd 0.0000 0.0000 0.6282  8 In 3.35-3.36
Nd 0.0000 0.0000 0.8828  4 Al 3.26, 4 In 3.35, 1 Nd 3.63
Al 0.5000 0.5000 0.0000  8 Nd 3.26
In 0.5000 0.5000 0.2446  8 Nd 3.35
In 0.5000 0.5000 0.5000  8 Nd 3.36
In 0.5000 0.5000 0.7554  8 Nd 3.35

Results
Formation energy from the elements: -0.46 eV/atom
Energy: -4.335 eV/atom